[1]
K2RuRh | GGA-PBEsol | relaxed

abc: 5.0402 5.0402 5.0402
angles: 60.00 60.00 60.00
Site moments in Bohr magnetons follow the coordinates.
Sites, in units of the cell vectors:
K (0.2500, 0.2500, 0.2500)  0.00
K (0.7500, 0.7500, 0.7500)  0.00
Rh (0.0000, 0.0000, 0.0000)  0.62
Ru (0.5000, 0.5000, 0.5000)  1.86

## Properties
ΔE_f (kcal/mol of atoms): 41.889
Polymorph energy (0 for the lowest one) (meV per atom): 1149
Total magnetization (μB per formula unit): 2.66

[2]
In3Pb | GGA-PBEsol | relaxed

abc: 3.3731 3.3731 10.9632
angles: 81.15 81.15 60.00
Sites, in units of the cell vectors:
Pb (0.0000, 0.0000, 0.0000)
In (0.7533, 0.7533, 0.7402)
In (0.5000, 0.5000, 0.5000)
In (0.2467, 0.2467, 0.2598)

## Properties
ΔE_f (kcal/mol of atoms): 0.254
Total magnetization (μB per formula unit): 0.00

[3]
MnIn2P | GGA-PBEsol | relaxed

abc: 2.9340 4.6899 5.7253
angles: 108.45 104.85 90.00
Site moments in Bohr magnetons follow the coordinates.
Sites, in units of the cell vectors:
In (0.9932, 0.9767, 0.9865)  -0.05
In (0.7934, 0.3171, 0.5867)  -0.02
Mn (0.5291, 0.4948, 0.0582)  1.75
P (0.1843, 0.7114, 0.3686)  -0.06

## Properties
ΔE_f (kcal/mol of atoms): 2.416
Total magnetization (μB per formula unit): 1.64

What is the formula in the third record?
MnIn2P

Which formula does entry 3 have?
MnIn2P

Look up the ΔE_f of the second one.
0.254 kcal/mol of atoms

What is the total magnetization in the third record?
1.64 μB per formula unit